First-principles (PBE) data for a relaxed structure of LaIrS2, as listed in the Alexandria database.

abc: 5.071 5.071 14.427
angles: 90.00 90.00 90.00
Space group I-42d (No. 122)
Unique sites:
La: 0.000 0.000 0.000 x4
Ir: 0.000 0.000 0.500 x4
S: 0.167 0.250 0.625 x8

Results
- Spin magnetization: 0.00 Bohr magnetons per cell
- Distance to the lowest polymorph of the same formula: 0.00 eV per formula unit
- ΔE_f (raw): -0.90 eV per atom